No. 1
Density functional theory data (PBE-GGA) for crystalline V8Ga2Fe at its relaxed geometry.

formation energy from the elements = -0.061 eV per atom
calculated total energy = -8.01 eV per atom
SG = No. 12
size of the total moment = 0.0000 μB per atom

a b c (Å): 4.189 5.766 6.907
angles (deg): 109.16 107.65 90.00
Positions (direct):
1 Fe 0.500 0.000 0.000
2 Ga 0.197 0.667 0.394
3 Ga 0.803 0.333 0.606
4 V 0.011 0.729 0.023
5 V 0.835 0.823 0.671
6 V 0.396 0.593 0.792
7 V 0.604 0.407 0.208
8 V 0.348 0.096 0.697
9 V 0.652 0.904 0.303
10 V 0.165 0.177 0.329
11 V 0.989 0.271 0.977

No. 2
Density functional theory data (PBE-GGA) for crystalline VGa2Fe at its relaxed geometry.

formation energy from the elements = -0.034 eV per atom
calculated total energy = -5.94 eV per atom
SG = No. 225
size of the total moment = 0.8346 μB per atom

a b c (Å): 4.244 4.244 4.244
angles (deg): 60.00 60.00 60.00
Positions (direct):
1 V 0.000 0.000 0.000
2 Fe 0.500 0.500 0.500
3 Ga 0.750 0.750 0.750
4 Ga 0.250 0.250 0.250

No. 3
Density functional theory data (PBE-GGA) for crystalline V5GaFe2 at its relaxed geometry.

formation energy from the elements = 0.060 eV per atom
calculated total energy = -8.13 eV per atom
SG = No. 140
size of the total moment = 0.0001 μB per atom

a b c (Å): 5.928 5.928 7.336
angles (deg): 113.83 113.83 90.00
Positions (direct):
1 V 0.506 0.689 0.695
2 V 0.811 0.994 0.305
3 V 0.311 0.811 0.305
4 V 0.494 0.311 0.305
5 V 0.994 0.494 0.305
6 V 0.000 0.000 0.000
7 V 0.006 0.506 0.695
8 V 0.189 0.006 0.695
9 V 0.689 0.189 0.695
10 V 0.500 0.500 0.000
11 Fe 0.637 0.137 0.000
12 Fe 0.863 0.637 0.000
13 Fe 0.363 0.863 0.000
14 Fe 0.137 0.363 0.000
15 Ga 0.750 0.750 0.500
16 Ga 0.250 0.250 0.500